1.
Computed, not measured: crystalline Sr2Sn4PdAu3 at its relaxed geometry at the GGA-PBE level of DFT.

Cell and atoms, written as POSCAR:
```
Sr2Sn4PdAu3
1.0
4.677 0.000 0.000
0.000 4.677 0.000
0.000 0.000 11.595
Sr Sn Pd Au
2 4 1 3
direct
0.000 0.500 0.238
0.500 0.000 0.762
0.000 0.000 0.500
0.000 0.500 0.878
0.500 0.000 0.122
0.500 0.500 0.500
0.500 0.500 0.000
0.000 0.000 0.000
0.000 0.500 0.644
0.500 0.000 0.356
```

Results
M_tot   0.0 Bohr magnetons per cell
DFT formation energy   -5.9 eV/f.u.
VASP energy   -4.032 eV per atom


2.
Computed, not measured: crystalline AcCu7O12 at its relaxed geometry at the GGA-PBE level of DFT.

Cell and atoms, written as POSCAR:
```
AcCu7O12
1.0
-3.712 3.712 3.712
3.712 -3.712 3.712
3.712 3.712 -3.712
Ac Cu O
1 7 12
direct
0.000 0.000 0.000
0.000 0.000 0.500
0.000 0.500 0.000
0.000 0.500 0.500
0.500 0.000 0.000
0.500 0.000 0.500
0.500 0.500 0.000
0.500 0.500 0.500
0.141 0.315 0.826
0.174 0.489 0.315
0.174 0.859 0.685
0.315 0.174 0.489
0.315 0.826 0.141
0.489 0.315 0.174
0.511 0.685 0.826
0.685 0.174 0.859
0.685 0.826 0.511
0.826 0.141 0.315
0.826 0.511 0.685
0.859 0.685 0.174
```

Results
Formation energy without anion corrections   -0.8228 eV/atom
M_tot   0.0 Bohr magnetons per cell
VASP energy   -5.437 eV per atom


3.
Computed, not measured: crystalline Nd8OsRu2 at its relaxed geometry at the GGA-PBE level of DFT.

Cell and atoms, written as POSCAR:
```
Nd8OsRu2
1.0
4.204 -6.511 0.000
4.204 6.511 0.000
-2.287 0.000 5.884
Nd Os Ru
8 1 2
direct
0.000 0.000 0.000
0.007 0.269 0.597
0.150 0.567 0.184
0.269 0.007 0.597
0.432 0.691 0.793
0.567 0.150 0.184
0.691 0.432 0.793
0.705 0.705 0.372
0.352 0.352 0.023
0.038 0.655 0.692
0.655 0.038 0.692
```

Results
M_tot   0.0 Bohr magnetons per cell
Relative energy among the computed polymorphs   3.2 kJ per mole of atoms
DFT formation energy   -0.6 eV/f.u.
VASP energy   -6.228 eV per atom


4.
Computed, not measured: crystalline CaPr2Au4 at its relaxed geometry at the GGA-PBE level of DFT.

Cell and atoms, written as POSCAR:
```
CaPr2Au4
1.0
2.554 1.474 8.405
-2.554 1.474 8.405
0.000 -2.949 8.405
Ca Pr Au
1 2 4
direct
0.000 0.000 0.000
0.242 0.242 0.242
0.758 0.758 0.758
0.120 0.120 0.120
0.369 0.369 0.369
0.631 0.631 0.631
0.880 0.880 0.880
```

Results
M_tot   0.0 Bohr magnetons per cell
DFT formation energy   -4.5 eV/f.u.
VASP energy   -4.173 eV per atom


5.
Computed, not measured: crystalline HoTmCoHg at its relaxed geometry at the GGA-PBE level of DFT.

Cell and atoms, written as POSCAR:
```
HoTmCoHg
1.0
3.400 0.000 0.000
0.000 3.400 0.000
0.000 0.000 7.464
Ho Tm Co Hg
1 1 1 1
direct
0.000 0.000 0.000
0.000 0.000 0.567
0.500 0.500 0.780
0.500 0.500 0.287
```

Results
M_tot   0.4 Bohr magnetons per cell
Relative energy among the computed polymorphs   0.0 kJ per mole of atoms
DFT formation energy   -1.4 eV/f.u.
VASP energy   -4.472 eV per atom


6.
Computed, not measured: crystalline La5PrSmIn2 at its relaxed geometry at the GGA-PBE level of DFT.

Cell and atoms, written as POSCAR:
```
La5PrSmIn2
1.0
-4.547 4.547 7.404
4.547 -4.547 7.404
4.547 4.547 -7.404
La Pr Sm In
10 2 2 4
direct
0.000 0.000 0.000
0.071 0.571 0.899
0.172 0.071 0.500
0.328 0.828 0.899
0.429 0.328 0.500
0.500 0.500 0.000
0.571 0.672 0.500
0.672 0.172 0.101
0.828 0.929 0.500
0.929 0.429 0.101
0.250 0.250 0.000
0.750 0.750 0.000
0.250 0.750 0.500
0.750 0.250 0.500
0.107 0.393 0.500
0.393 0.893 0.286
0.607 0.107 0.714
0.893 0.607 0.500
```

Results
M_tot   0.0 Bohr magnetons per cell
DFT formation energy   -0.6 eV/f.u.
VASP energy   -4.472 eV per atom